# Tm4SnSb2Te | Alexandria | GGA-PBE | relaxed
# volume = 461.34 Å³/cell
# VASP energy = -5.181 eV/atom
# ΔE_f (raw) = -8.18 eV per formula unit
# magnetization = 0.00 μB per formula unit
# DOS at the Fermi energy = 0.111 states/eV per atom
data_Tm4SnSb2Te
_chemical_formula_sum 'Tm8 Sn2 Sb4 Te2'
_cell_length_a 6.1323
_cell_length_b 6.1323
_cell_length_c 12.2679
_cell_angle_alpha 90.00
_cell_angle_beta 90.00
_cell_angle_gamma 90.00
_symmetry_space_group_name_H-M 'I -4 m 2'
_symmetry_Int_Tables_number 119
_symmetry_space_group_name_Hall 'I -4 -2'
loop_
_atom_site_label
_atom_site_fract_x
_atom_site_fract_y
_atom_site_fract_z
Tm1 0.0000 0.0000 0.2467
Tm2 0.0000 0.5000 0.0012
Sn1 0.0000 0.5000 0.2500
Sb1 0.0000 0.0000 0.0000
Sb2 0.0000 0.5000 0.7500
Te1 0.0000 0.0000 0.5000